No. 1
Below is KNdY4Se8 after structural relaxation, with properties calculated at the GGA-PBE level.

The structure in POSCAR format:
```
KNdY4Se8
1.0
-1.5847 6.2783 -5.6409
-7.3132 -0.0173 -4.5017
-6.1378 5.9029 1.7573
K Nd Y Se
1 1 4 8
Direct
0.3717 0.3717 0.8849
0.0049 0.0049 0.9853
0.6257 0.6257 0.1228
0.0046 0.4862 0.5045
0.4862 0.0046 0.5045
0.0046 0.0046 0.5045
0.2401 0.7937 0.7261
0.7937 0.2401 0.7261
0.2401 0.2401 0.7261
0.2337 0.2337 0.2990
0.7536 0.2299 0.2629
0.2299 0.7536 0.2629
0.7536 0.7536 0.2629
0.7576 0.7576 0.7273
```

Results
- formation energy (no corrections) (meV per atom) = -1756
- total DFT energy (no corrections) (eV for the cell shown) = -84.18


No. 2
Below is SrNiHg2Ge after structural relaxation, with properties calculated at the GGA-PBE level.

The structure in POSCAR format:
```
SrNiHg2Ge
1.0
4.9881 0.0000 0.0000
0.0000 5.3921 0.0000
0.0000 0.0000 4.9881
Sr Ge Hg Ni
1 1 2 1
Direct
0.0000 0.5000 0.0000
0.5000 0.5000 0.5000
0.0000 0.0000 0.5000
0.5000 0.0000 0.0000
0.0000 0.0000 0.0000
```

Results
- E above lowest polymorph (meV per atom) = 375
- energy of formation (meV per atom) = 150
- total DFT energy (no corrections) (eV for the cell shown) = -11.94